Record 1
A geometry-optimized RuRh structure. Source: Alexandria via LeMat-Bulk, functional GGA-PBE.

The structure in POSCAR format:
```
RuRh
1.0
7.613 0.000 0.000
0.000 7.613 0.000
0.000 0.000 4.344
Ru Rh
8 8
Direct
0.067 0.757 0.500 Ru
0.933 0.243 0.500 Ru
0.561 0.855 0.000 Ru
0.243 0.067 0.500 Ru
0.855 0.439 0.000 Ru
0.757 0.933 0.500 Ru
0.439 0.145 0.000 Ru
0.145 0.561 0.000 Ru
0.224 0.885 0.000 Rh
0.115 0.224 0.000 Rh
0.776 0.115 0.000 Rh
0.742 0.585 0.500 Rh
0.885 0.776 0.000 Rh
0.585 0.258 0.500 Rh
0.415 0.742 0.500 Rh
0.258 0.415 0.500 Rh
```

Calculated values
The total magnetization is 0.000 μB per formula unit. The formation enthalpy at 0 K comes out at 0.43 eV per atom. Its space group is P4/m, No. 83.

Record 2
A geometry-optimized KAgBPt2 structure. Source: Alexandria via LeMat-Bulk, functional GGA-PBE.

The structure in POSCAR format:
```
KAgBPt2
1.0
4.237 0.000 0.000
0.000 4.237 0.000
0.000 0.000 4.905
K B Pt Ag
1 1 2 1
Direct
0.500 0.500 0.500 K
0.000 0.000 0.000 B
0.000 0.500 0.000 Pt
0.500 0.000 0.000 Pt
0.000 0.000 0.500 Ag
```

Calculated values
The total magnetization is 0.000 μB per formula unit. The formation enthalpy at 0 K comes out at -0.02 eV per atom. Its space group is P4/mmm, No. 123.

Record 3
A geometry-optimized SrSbIr2 structure. Source: Alexandria via LeMat-Bulk, functional GGA-PBE.

The structure in POSCAR format:
```
SrSbIr2
1.0
3.327 0.000 0.000
0.000 3.327 0.000
0.000 0.000 7.731
Sb Ir Sr
1 2 1
Direct
0.000 0.000 0.427 Sb
0.500 0.500 0.248 Ir
0.000 0.000 0.046 Ir
0.500 0.500 0.780 Sr
```

Calculated values
The total magnetization is 0.000 μB per formula unit. Its space group is P4mm, No. 99. The uncorrected formation energy is 0.10 eV per atom.

Q: Number 3 is which compound?
A: SrSbIr2